# 1
# Np3Pa2NbN6 (GGA-PBE, relaxed)
data_Np3Pa2NbN6
_chemical_formula_sum 'Np6 Pa4 Nb2 N12'
_cell_length_a 5.921
_cell_length_b 10.255
_cell_length_c 5.908
_cell_angle_alpha 90.00
_cell_angle_beta 109.57
_cell_angle_gamma 90.00
_space_group_name_H-M_alt 'C 1 2/m 1'
_space_group_IT_number 12
loop_
_space_group_symop_operation_xyz
'x,y,z'
'-x,-y,-z'
'-x,y,-z'
'x,-y,z'
'x+1/2,y+1/2,z'
'-x+1/2,-y+1/2,-z'
'-x+1/2,y+1/2,-z'
'x+1/2,-y+1/2,z'
loop_
_atom_site_label
_atom_site_fract_x
_atom_site_fract_y
_atom_site_fract_z
Np1 0.000 0.000 0.000
Np2 0.000 0.334 0.000
Pa1 0.000 0.167 0.500
Nb1 0.000 0.500 0.500
N1 0.240 0.340 0.739
N2 0.240 0.500 0.258
# Formation energy from raw total energies = -1.294 eV per atom
# Spin magnetization = 20.04 μB/cell
# DOS at the Fermi energy = 20.278 states/eV/f.u.

# 2
# Np2PaNbN4 (GGA-PBE, relaxed)
data_Np2PaNbN4
_chemical_formula_sum 'Np2 Pa1 Nb1 N4'
_cell_length_a 5.821
_cell_length_b 3.395
_cell_length_c 5.846
_cell_angle_alpha 90.00
_cell_angle_beta 109.14
_cell_angle_gamma 90.00
_space_group_name_H-M_alt 'P 1 2/m 1'
_space_group_IT_number 10
loop_
_space_group_symop_operation_xyz
'x,y,z'
'-x,-y,-z'
'-x,y,-z'
'x,-y,z'
loop_
_atom_site_label
_atom_site_fract_x
_atom_site_fract_y
_atom_site_fract_z
Np1 0.000 0.000 0.000
Np2 0.000 0.500 0.500
Pa1 0.500 0.000 0.500
Nb1 0.500 0.500 0.000
N1 0.258 0.500 0.236
N2 0.265 0.000 0.769
# Formation energy from raw total energies = -1.249 eV per atom
# Spin magnetization = 6.25 μB/cell
# DOS at the Fermi energy = 13.201 states/eV/f.u.

# 3
# PmNp2NbN4 (GGA-PBE, relaxed)
data_PmNp2NbN4
_chemical_formula_sum 'Pm4 Np8 Nb4 N16'
_cell_length_a 3.408
_cell_length_b 11.867
_cell_length_c 11.885
_cell_angle_alpha 90.00
_cell_angle_beta 90.00
_cell_angle_gamma 90.00
_space_group_name_H-M_alt 'C m c m'
_space_group_IT_number 63
_space_group_name_Hall '-C 2c 2'
loop_
_atom_site_label
_atom_site_fract_x
_atom_site_fract_y
_atom_site_fract_z
Pm1 0.000 0.111 0.250
Np1 0.000 0.370 0.041
Nb1 0.000 0.152 0.750
N1 0.000 0.000 0.000
N2 0.000 0.266 0.618
N3 0.000 0.459 0.250
# Formation energy from raw total energies = -0.966 eV per atom
# Spin magnetization = 27.34 μB/cell
# DOS at the Fermi energy = 11.254 states/eV/f.u.

# 4
# Pm3Np3NbN8 (GGA-PBE, relaxed)
data_Pm3Np3NbN8
_chemical_formula_sum 'Pm9 Np9 Nb3 N24'
_cell_length_a 6.8148
_cell_length_b 6.8148
_cell_length_c 17.2536
_cell_angle_alpha 90.00
_cell_angle_beta 90.00
_cell_angle_gamma 120.00
_space_group_name_H-M_alt 'R -3 m'
_space_group_IT_number 166
_space_group_name_Hall '-R 3 2"'
loop_
_atom_site_label
_atom_site_fract_x
_atom_site_fract_y
_atom_site_fract_z
Pm1 0.0000 0.5000 0.0000
Np1 0.0000 0.5000 0.5000
Nb1 0.0000 0.0000 0.5000
N1 0.0000 0.0000 0.2424
N2 0.0184 0.5092 0.2338
# Formation energy from raw total energies = -1.179 eV per atom
# Spin magnetization = 26.03 μB/cell
# DOS at the Fermi energy = 20.044 states/eV/f.u.

# 5
# PmNpNbN3 (GGA-PBE, relaxed)
data_PmNpNbN3
_chemical_formula_sum 'Pm2 Np2 Nb2 N6'
_cell_length_a 7.198
_cell_length_b 3.330
_cell_length_c 8.200
_cell_angle_alpha 90.00
_cell_angle_beta 92.65
_cell_angle_gamma 90.00
_space_group_name_H-M_alt 'P 1 21/m 1'
_space_group_IT_number 11
loop_
_space_group_symop_operation_xyz
'x,y,z'
'-x,-y,-z'
'-x,y+1/2,-z'
'x,-y+1/2,z'
loop_
_atom_site_label
_atom_site_fract_x
_atom_site_fract_y
_atom_site_fract_z
Pm1 0.138 0.250 0.176
Np1 0.370 0.750 0.849
Nb1 0.136 0.250 0.569
N1 0.144 0.250 0.849
N2 0.164 0.750 0.412
N3 0.402 0.750 0.109
# Formation energy from raw total energies = -0.932 eV per atom
# Spin magnetization = 6.76 μB/cell
# DOS at the Fermi energy = 7.766 states/eV/f.u.

# 6
# Pr2NpNbN5 (GGA-PBE, relaxed)
data_Pr2NpNbN5
_chemical_formula_sum 'Pr8 Np4 Nb4 N20'
_cell_length_a 3.546
_cell_length_b 14.044
_cell_length_c 10.769
_cell_angle_alpha 90.00
_cell_angle_beta 90.00
_cell_angle_gamma 90.00
_space_group_name_H-M_alt 'C m c 21'
_space_group_IT_number 36
loop_
_space_group_symop_operation_xyz
'x,y,z'
'-x,-y,z+1/2'
'-x,y,z'
'x,-y,z+1/2'
'x+1/2,y+1/2,z'
'-x+1/2,-y+1/2,z+1/2'
'-x+1/2,y+1/2,z'
'x+1/2,-y+1/2,z+1/2'
loop_
_atom_site_label
_atom_site_fract_x
_atom_site_fract_y
_atom_site_fract_z
Pr1 0.000 0.106 0.000
Pr2 0.000 0.143 0.604
Np1 0.000 0.213 0.322
Nb1 0.000 0.482 0.772
N1 0.000 0.051 0.356
N2 0.000 0.279 0.957
N3 0.000 0.315 0.700
N4 0.000 0.376 0.317
N5 0.000 0.492 0.096
# Formation energy from raw total energies = -1.177 eV per atom
# Spin magnetization = 11.66 μB/cell
# DOS at the Fermi energy = 5.985 states/eV/f.u.

# 7
# Pr2NpNbN6 (GGA-PBE, relaxed)
data_Pr2NpNbN6
_chemical_formula_sum 'Pr4 Np2 Nb2 N12'
_cell_length_a 5.831
_cell_length_b 5.841
_cell_length_c 10.041
_cell_angle_alpha 90.00
_cell_angle_beta 125.25
_cell_angle_gamma 90.00
_space_group_name_H-M_alt 'P 1 21/c 1'
_space_group_IT_number 14
loop_
_space_group_symop_operation_xyz
'x,y,z'
'-x,-y,-z'
'-x,y+1/2,-z+1/2'
'x,-y+1/2,z+1/2'
loop_
_atom_site_label
_atom_site_fract_x
_atom_site_fract_y
_atom_site_fract_z
Pr1 0.239 0.036 0.249
Np1 0.500 0.000 0.000
Nb1 0.000 0.000 0.500
N1 0.172 0.211 0.953
N2 0.231 0.715 0.951
N3 0.339 0.019 0.751
# Formation energy from raw total energies = -1.094 eV per atom
# Spin magnetization = 0.00 μB/cell

# 8
# PrNpNbN3 (GGA-PBE, relaxed)
data_PrNpNbN3
_chemical_formula_sum 'Pr2 Np2 Nb2 N6'
_cell_length_a 7.276
_cell_length_b 3.364
_cell_length_c 8.266
_cell_angle_alpha 90.00
_cell_angle_beta 93.73
_cell_angle_gamma 90.00
_space_group_name_H-M_alt 'P 1 21/m 1'
_space_group_IT_number 11
loop_
_space_group_symop_operation_xyz
'x,y,z'
'-x,-y,-z'
'-x,y+1/2,-z'
'x,-y+1/2,z'
loop_
_atom_site_label
_atom_site_fract_x
_atom_site_fract_y
_atom_site_fract_z
Pr1 0.142 0.250 0.178
Np1 0.368 0.750 0.851
Nb1 0.133 0.250 0.572
N1 0.146 0.250 0.847
N2 0.165 0.750 0.420
N3 0.408 0.750 0.110
# Formation energy from raw total energies = -0.901 eV per atom
# Spin magnetization = 6.74 μB/cell
# DOS at the Fermi energy = 8.002 states/eV/f.u.